[1]
Here is crystalline Ac3Cu5O12 at its relaxed geometry from the Alexandria database. Energies are from GGA-PBE.

a = 11.200 Å, b = 11.200 Å, c = 11.200 Å
α = 109.47°, β = 109.47°, γ = 109.47°
Atoms (fractional coordinates):
Ac1 0.125 0.250 0.375
Ac2 0.125 0.375 0.750
Ac3 0.250 0.375 0.125
Ac4 0.250 0.875 0.625
Ac5 0.375 0.125 0.250
Ac6 0.375 0.750 0.125
Ac7 0.625 0.250 0.875
Ac8 0.625 0.875 0.750
Ac9 0.750 0.125 0.375
Ac10 0.750 0.625 0.875
Ac11 0.875 0.625 0.250
Ac12 0.875 0.750 0.625
Cu1 0.000 0.000 0.000
Cu2 0.000 0.000 0.500
Cu3 0.000 0.500 0.000
Cu4 0.000 0.500 0.500
Cu5 0.125 0.750 0.875
Cu6 0.125 0.875 0.250
Cu7 0.250 0.125 0.875
Cu8 0.250 0.625 0.375
Cu9 0.375 0.250 0.625
Cu10 0.375 0.625 0.750
Cu11 0.500 0.000 0.000
Cu12 0.500 0.000 0.500
Cu13 0.500 0.500 0.000
Cu14 0.500 0.500 0.500
Cu15 0.625 0.375 0.250
Cu16 0.625 0.750 0.375
Cu17 0.750 0.375 0.625
Cu18 0.750 0.875 0.125
Cu19 0.875 0.125 0.750
Cu20 0.875 0.250 0.125
O1 0.016 0.192 0.115
O2 0.016 0.325 0.901
O3 0.077 0.692 0.675
O4 0.077 0.885 0.401
O5 0.099 0.615 0.423
O6 0.099 0.984 0.675
O7 0.115 0.016 0.192
O8 0.115 0.599 0.923
O9 0.175 0.192 0.577
O10 0.175 0.484 0.599
O11 0.192 0.115 0.016
O12 0.192 0.577 0.175
O13 0.308 0.325 0.923
O14 0.308 0.484 0.385
O15 0.325 0.901 0.016
O16 0.325 0.923 0.308
O17 0.385 0.308 0.484
O18 0.385 0.577 0.901
O19 0.401 0.077 0.885
O20 0.401 0.825 0.516
O21 0.423 0.099 0.615
O22 0.423 0.825 0.808
O23 0.484 0.385 0.308
O24 0.484 0.599 0.175
O25 0.516 0.401 0.825
O26 0.516 0.615 0.692
O27 0.577 0.175 0.192
O28 0.577 0.901 0.385
O29 0.599 0.175 0.484
O30 0.599 0.923 0.115
O31 0.615 0.423 0.099
O32 0.615 0.692 0.516
O33 0.675 0.077 0.692
O34 0.675 0.099 0.984
O35 0.692 0.516 0.615
O36 0.692 0.675 0.077
O37 0.808 0.423 0.825
O38 0.808 0.885 0.984
O39 0.825 0.516 0.401
O40 0.825 0.808 0.423
O41 0.885 0.401 0.077
O42 0.885 0.984 0.808
O43 0.901 0.016 0.325
O44 0.901 0.385 0.577
O45 0.923 0.115 0.599
O46 0.923 0.308 0.325
O47 0.984 0.675 0.099
O48 0.984 0.808 0.885

Values from the calculation:
V in A^3/atom: 13.52
E_form (uncorrected) in kJ/mol of formula units: -2810.0



[2]
Here is crystalline Ca2NdUSb4 at its relaxed geometry from the Alexandria database. Energies are from GGA-PBE.

a = 7.750 Å, b = 4.521 Å, c = 7.779 Å
α = 90.00°, β = 109.60°, γ = 90.00°
Atoms (fractional coordinates):
Ca1 0.000 0.000 0.000
Ca2 0.000 0.500 0.500
Nd1 0.500 0.000 0.500
U1 0.500 0.500 0.000
Sb1 0.260 0.500 0.241
Sb2 0.266 0.000 0.765
Sb3 0.734 0.000 0.235
Sb4 0.740 0.500 0.759

Values from the calculation:
V in A^3/atom: 32.09
E_form (uncorrected) in kJ/mol of formula units: -607.2



[3]
Here is crystalline V2PtAu2 at its relaxed geometry from the Alexandria database. Energies are from GGA-PBE.

a = 7.534 Å, b = 7.534 Å, c = 2.863 Å
α = 90.00°, β = 90.00°, γ = 90.00°
Atoms (fractional coordinates):
V1 0.112 0.388 0.000
V2 0.388 0.888 0.000
V3 0.612 0.112 0.000
V4 0.888 0.612 0.000
Pt1 0.000 0.000 0.000
Pt2 0.500 0.500 0.000
Au1 0.178 0.678 0.500
Au2 0.322 0.178 0.500
Au3 0.678 0.822 0.500
Au4 0.822 0.322 0.500

Values from the calculation:
V in A^3/atom: 16.25
Formation energy in kcal/mol of atoms: 5.022



[4]
Here is crystalline Zr2TaW at its relaxed geometry from the Alexandria database. Energies are from GGA-PBE.

a = 3.312 Å, b = 3.312 Å, c = 7.271 Å
α = 90.00°, β = 90.00°, γ = 90.00°
Atoms (fractional coordinates):
Zr1 0.000 0.000 0.000
Zr2 0.500 0.500 0.293
Ta1 0.000 0.000 0.558
W1 0.500 0.500 0.757

Values from the calculation:
V in A^3/atom: 19.94
Formation energy in kcal/mol of atoms: 1.373



[5]
Here is crystalline GaAgPt at its relaxed geometry from the Alexandria database. Energies are from GGA-PBE.

a = 3.410 Å, b = 2.825 Å, c = 11.090 Å
α = 90.00°, β = 90.00°, γ = 90.00°
Atoms (fractional coordinates):
Ga1 0.000 0.000 0.000
Ga2 0.000 0.500 0.500
Ag1 0.000 0.000 0.705
Ag2 0.000 0.500 0.205
Pt1 0.500 0.000 0.379
Pt2 0.500 0.500 0.879

Values from the calculation:
V in A^3/atom: 17.81
Formation energy in kcal/mol of atoms: -5.813



[6]
Here is crystalline Pa5Al3Co12 at its relaxed geometry from the Alexandria database. Energies are from GGA-PBE.

a = 12.034 Å, b = 12.034 Å, c = 12.034 Å
α = 109.47°, β = 109.47°, γ = 109.47°
Atoms (fractional coordinates):
Pa1 0.000 0.000 0.000
Pa2 0.000 0.000 0.500
Pa3 0.000 0.500 0.000
Pa4 0.000 0.500 0.500
Pa5 0.125 0.750 0.875
Pa6 0.125 0.875 0.250
Pa7 0.250 0.125 0.875
Pa8 0.250 0.625 0.375
Pa9 0.375 0.250 0.625
Pa10 0.375 0.625 0.750
Pa11 0.500 0.000 0.000
Pa12 0.500 0.000 0.500
Pa13 0.500 0.500 0.000
Pa14 0.500 0.500 0.500
Pa15 0.625 0.375 0.250
Pa16 0.625 0.750 0.375
Pa17 0.750 0.375 0.625
Pa18 0.750 0.875 0.125
Pa19 0.875 0.125 0.750
Pa20 0.875 0.250 0.125
Al1 0.125 0.250 0.375
Al2 0.125 0.375 0.750
Al3 0.250 0.375 0.125
Al4 0.250 0.875 0.625
Al5 0.375 0.125 0.250
Al6 0.375 0.750 0.125
Al7 0.625 0.250 0.875
Al8 0.625 0.875 0.750
Al9 0.750 0.125 0.375
Al10 0.750 0.625 0.875
Al11 0.875 0.625 0.250
Al12 0.875 0.750 0.625
Co1 0.066 0.638 0.401
Co2 0.066 0.927 0.664
Co3 0.073 0.237 0.138
Co4 0.073 0.336 0.934
Co5 0.099 0.737 0.664
Co6 0.099 0.862 0.434
Co7 0.138 0.073 0.237
Co8 0.138 0.566 0.901
Co9 0.164 0.237 0.599
Co10 0.164 0.427 0.566
Co11 0.237 0.138 0.073
Co12 0.237 0.599 0.164
Co13 0.263 0.336 0.901
Co14 0.263 0.427 0.362
Co15 0.336 0.901 0.263
Co16 0.336 0.934 0.073
Co17 0.362 0.263 0.427
Co18 0.362 0.599 0.934
Co19 0.401 0.066 0.638
Co20 0.401 0.836 0.763
Co21 0.427 0.362 0.263
Co22 0.427 0.566 0.164
Co23 0.434 0.099 0.862
Co24 0.434 0.836 0.573
Co25 0.566 0.164 0.427
Co26 0.566 0.901 0.138
Co27 0.573 0.434 0.836
Co28 0.573 0.638 0.737
Co29 0.599 0.164 0.237
Co30 0.599 0.934 0.362
Co31 0.638 0.401 0.066
Co32 0.638 0.737 0.573
Co33 0.664 0.066 0.927
Co34 0.664 0.099 0.737
Co35 0.737 0.573 0.638
Co36 0.737 0.664 0.099
Co37 0.763 0.401 0.836
Co38 0.763 0.862 0.927
Co39 0.836 0.573 0.434
Co40 0.836 0.763 0.401
Co41 0.862 0.434 0.099
Co42 0.862 0.927 0.763
Co43 0.901 0.138 0.566
Co44 0.901 0.263 0.336
Co45 0.927 0.664 0.066
Co46 0.927 0.763 0.862
Co47 0.934 0.073 0.336
Co48 0.934 0.362 0.599

Values from the calculation:
V in A^3/atom: 16.77
Formation energy in kcal/mol of atoms: 1.929



[7]
Here is crystalline Tb2Be3GaPt4 at its relaxed geometry from the Alexandria database. Energies are from GGA-PBE.

a = 4.062 Å, b = 4.062 Å, c = 9.856 Å
α = 90.00°, β = 90.00°, γ = 90.00°
Atoms (fractional coordinates):
Tb1 0.000 0.500 0.242
Tb2 0.500 0.000 0.758
Be1 0.000 0.500 0.882
Be2 0.500 0.000 0.118
Be3 0.500 0.500 0.500
Ga1 0.000 0.000 0.500
Pt1 0.000 0.000 0.000
Pt2 0.000 0.500 0.647
Pt3 0.500 0.000 0.353
Pt4 0.500 0.500 0.000

Values from the calculation:
V in A^3/atom: 16.26
Formation energy in kcal/mol of atoms: -21.413



[8]
Here is crystalline Mg2Si3 at its relaxed geometry from the Alexandria database. Energies are from GGA-PBE.

a = 3.876 Å, b = 5.925 Å, c = 16.696 Å
α = 95.31°, β = 93.95°, γ = 97.45°
Atoms (fractional coordinates):
Mg1 0.000 0.000 0.000
Mg2 0.005 0.734 0.284
Mg3 0.089 0.516 0.510
Mg4 0.131 0.041 0.443
Mg5 0.187 0.526 0.956
Mg6 0.207 0.835 0.673
Mg7 0.563 0.010 0.168
Mg8 0.682 0.557 0.781
Si1 0.086 0.178 0.799
Si2 0.117 0.242 0.278
Si3 0.128 0.331 0.670
Si4 0.302 0.853 0.851
Si5 0.405 0.514 0.179
Si6 0.565 0.712 0.406
Si7 0.584 0.313 0.053
Si8 0.588 0.232 0.583
Si9 0.628 0.222 0.888
Si10 0.652 0.316 0.369
Si11 0.661 0.836 0.552
Si12 0.942 0.664 0.103

Values from the calculation:
V in A^3/atom: 18.86
E_form (uncorrected) in kJ/mol of formula units: 59.7



Look up the V of the fifth one.
17.81 A^3/atom



The highest V belongs to which entry?
Ca2NdUSb4